Entry from Alexandria via LeMat-Bulk: a geometry-optimized YW3 structure (PBEsol).

The structure belongs to space group P4/mmm (No. 123); the cell edges are 3.1668, 3.1668 and 7.2768 Å and the angles 90.00°, 90.00° and 90.00°. The asymmetric unit holds Y at (0.0000, 0.0000, 0.0000), W at (0.0000, 0.0000, 0.5000) and W at (0.5000, 0.5000, 0.2940).

The distance to the lowest polymorph of the same formula is 0.000 eV per atom. The calculated total energy is -11.66 eV per atom. The magnetization comes out at 0.00 Bohr magnetons per cell.